No. 1
Here is a relaxed TiZn2Pt crystal from the Alexandria database. Energies are from PBEsol.

VASP energy = -5.100 eV/atom
mass density = 11.04 g/cm3

abc: 6.081 6.081 6.081
angles: 90.00 90.00 90.00
Space group Fm-3m (No. 225)
Unique sites:
Ti: 0.000 0.000 0.000 x4
Zn: 0.250 0.250 0.250 x8
Pt: 0.000 0.000 0.500 x4

---

No. 2
Here is a relaxed SrYRh4 crystal from the Alexandria database. Energies are from PBEsol.

VASP energy = -7.321 eV/atom
mass density = 9.19 g/cm3

abc: 7.520 7.520 7.520
angles: 90.00 90.00 90.00
Space group F-43m (No. 216)
Unique sites:
Sr: 0.000 0.000 0.000 x4
Y: 0.250 0.250 0.250 x4
Rh: 0.125 0.125 0.625 x16

---

No. 3
Here is a relaxed CdSnTe2H crystal from the Alexandria database. Energies are from PBEsol.

VASP energy = -2.311 eV/atom
mass density = 4.47 g/cm3

abc: 5.679 5.679 5.611
angles: 90.00 90.00 90.00
Space group P4/mmm (No. 123)
Unique sites:
Cd: 0.000 0.000 0.000 x1
Sn: 0.000 0.000 0.500 x1
Te: 0.000 0.500 0.500 x2
H: 0.500 0.500 0.000 x1

---

No. 4
Here is a relaxed Mo3Pt crystal from the Alexandria database. Energies are from PBEsol.

E above lowest polymorph = 0.0 meV per atom
mass density = 13.21 g/cm3

abc: 4.952 4.952 4.952
angles: 90.00 90.00 90.00
Space group Pm-3n (No. 223)
Unique sites:
Mo: 0.000 0.250 0.500 x6
Pt: 0.000 0.000 0.000 x2

---

No. 5
Here is a relaxed KBaLi2 crystal from the Alexandria database. Energies are from PBEsol.

E above lowest polymorph = 0.0 meV per atom
mass density = 1.81 g/cm3

abc: 4.618 5.410 7.362
angles: 90.00 108.25 90.00
Space group Pm (No. 6)
Unique sites:
K: 0.000 0.000 0.000 x1
Ba: 0.298 0.500 0.597 x1
Li: 0.590 0.500 0.178 x1
Li: 0.706 0.000 0.413 x1

---

No. 6
Here is a relaxed ReSiSnHg2 crystal from the Alexandria database. Energies are from PBEsol.

VASP energy = -3.423 eV/atom
mass density = 9.94 g/cm3

abc: 4.819 4.819 5.282
angles: 90.00 90.00 90.00
Space group P4/mmm (No. 123)
Unique sites:
Re: 0.000 0.000 0.000 x1
Si: 0.500 0.500 0.500 x1
Sn: 0.500 0.500 0.000 x1
Hg: 0.000 0.500 0.500 x2